## Sr3Mn2TcO9 (PBE+U)

Data for an optimized crystal structure of Sr3Mn2TcO9.

It has space group P-3m1 (No. 164), with a = 5.6115 Å, b = 5.6115 Å, c = 6.9093 Å, α = 90.00°, β = 90.00° and γ = 120.00°. The distinct sites, in fractional coordinates, are Sr at (0.0000, 0.0000, 0.0000), Sr at (0.3333, 0.6667, 0.6833), Mn at (0.3333, 0.6667, 0.1602), Tc at (0.0000, 0.0000, 0.5000), O at (0.0000, 0.5000, 0.0000) and O at (0.1627, 0.3254, 0.3394).

The calculation puts the density at 5.42 g/cm3. The energy is -7.121 eV per atom.